Entry 1:
The following is a PBE calculation of an optimized crystal structure of LiScSi, from the Alexandria database.

Symmetry: P6_3/mmc
Crystal system: hexagonal
Raw total energy, eV per atom: -5.10

Unit cell a=4.670 b=4.670 c=5.544 alpha=90.00 beta=90.00 gamma=120.00
Fractional coordinates of all 6 atoms:
1 Li 0.000 0.000 0.000
2 Li 0.000 0.000 0.500
3 Sc 0.333 0.667 0.250
4 Sc 0.667 0.333 0.750
5 Si 0.333 0.667 0.750
6 Si 0.667 0.333 0.250



Entry 2:
The following is a PBE calculation of an optimized crystal structure of Li2ScSi2, from the Alexandria database.

Symmetry: P4/mbm
Crystal system: tetragonal
Energy relative to the lowest polymorph listed for this composition, meV/atom: 151

Unit cell a=7.487 b=7.487 c=2.733 alpha=90.00 beta=90.00 gamma=90.00
Fractional coordinates of all 10 atoms:
1 Li 0.113 0.387 0.000
2 Li 0.387 0.887 0.000
3 Li 0.613 0.113 0.000
4 Li 0.887 0.613 0.000
5 Sc 0.000 0.000 0.000
6 Sc 0.500 0.500 0.000
7 Si 0.182 0.682 0.500
8 Si 0.318 0.182 0.500
9 Si 0.682 0.818 0.500
10 Si 0.818 0.318 0.500



Entry 3:
The following is a PBE calculation of an optimized crystal structure of LiScSi2, from the Alexandria database.

Symmetry: I-42d
Crystal system: tetragonal
Energy relative to the lowest polymorph listed for this composition, meV/atom: 451

Unit cell a=8.899 b=8.899 c=8.899 alpha=152.37 beta=152.37 gamma=39.48
Fractional coordinates of all 8 atoms:
1 Li 0.000 0.000 0.000
2 Li 0.750 0.250 0.500
3 Sc 0.250 0.750 0.500
4 Sc 0.500 0.500 0.000
5 Si 0.037 0.625 0.912
6 Si 0.375 0.287 0.412
7 Si 0.713 0.125 0.088
8 Si 0.875 0.963 0.588



Entry 4:
The following is a PBE calculation of an optimized crystal structure of LiScSi, from the Alexandria database.

Symmetry: Pnma
Crystal system: orthorhombic
Raw total energy, eV per atom: -5.11

Unit cell a=6.574 b=4.150 c=7.424 alpha=90.00 beta=90.00 gamma=90.00
Fractional coordinates of all 12 atoms:
1 Li 0.171 0.250 0.074
2 Li 0.329 0.750 0.574
3 Li 0.671 0.250 0.426
4 Li 0.829 0.750 0.926
5 Sc 0.009 0.250 0.711
6 Sc 0.491 0.750 0.211
7 Sc 0.509 0.250 0.789
8 Sc 0.991 0.750 0.289
9 Si 0.240 0.750 0.903
10 Si 0.260 0.250 0.403
11 Si 0.740 0.750 0.597
12 Si 0.760 0.250 0.097



Entry 5:
The following is a PBE calculation of an optimized crystal structure of LiScSi2, from the Alexandria database.

Symmetry: P4mm
Crystal system: tetragonal
Energy relative to the lowest polymorph listed for this composition, meV/atom: 365

Unit cell a=3.429 b=3.429 c=5.584 alpha=90.00 beta=90.00 gamma=90.00
Fractional coordinates of all 4 atoms:
1 Li 0.000 0.000 0.000
2 Sc 0.500 0.500 0.296
3 Si 0.000 0.000 0.554
4 Si 0.500 0.500 0.783



Entry 6:
The following is a PBE calculation of an optimized crystal structure of Li3ScSi, from the Alexandria database.

Symmetry: Pm-3m
Crystal system: cubic
Energy relative to the lowest polymorph listed for this composition, meV/atom: 0

Unit cell a=4.583 b=4.583 c=4.583 alpha=90.00 beta=90.00 gamma=90.00
Fractional coordinates of all 5 atoms:
1 Li 0.000 0.000 0.500
2 Li 0.000 0.500 0.000
3 Li 0.500 0.000 0.000
4 Sc 0.500 0.500 0.500
5 Si 0.000 0.000 0.000



Entry 7:
The following is a PBE calculation of an optimized crystal structure of LiSc2Si, from the Alexandria database.

Symmetry: I-42d
Crystal system: tetragonal
Raw total energy, eV per atom: -4.97

Unit cell a=6.038 b=6.038 c=6.038 alpha=103.51 beta=103.51 gamma=122.19
Fractional coordinates of all 8 atoms:
1 Li 0.000 0.000 0.000
2 Li 0.750 0.250 0.500
3 Sc 0.141 0.625 0.016
4 Sc 0.375 0.391 0.516
5 Sc 0.609 0.125 0.984
6 Sc 0.875 0.859 0.484
7 Si 0.250 0.750 0.500
8 Si 0.500 0.500 0.000



Entry 8:
The following is a PBE calculation of an optimized crystal structure of LiScSi2, from the Alexandria database.

Symmetry: F-43m
Crystal system: cubic
Energy relative to the lowest polymorph listed for this composition, meV/atom: 464

Unit cell a=4.524 b=4.524 c=4.524 alpha=60.00 beta=60.00 gamma=60.00
Fractional coordinates of all 4 atoms:
1 Li 0.000 0.000 0.000
2 Sc 0.250 0.250 0.250
3 Si 0.500 0.500 0.500
4 Si 0.750 0.750 0.750



Entry 9:
The following is a PBE calculation of an optimized crystal structure of LiScSi2, from the Alexandria database.

Symmetry: Pnma
Crystal system: orthorhombic
Energy relative to the lowest polymorph listed for this composition, meV/atom: 0

Unit cell a=6.093 b=3.956 c=11.394 alpha=90.00 beta=90.00 gamma=90.00
Fractional coordinates of all 16 atoms:
1 Li 0.250 0.250 0.028
2 Li 0.250 0.750 0.528
3 Li 0.750 0.250 0.472
4 Li 0.750 0.750 0.972
5 Sc 0.249 0.250 0.303
6 Sc 0.251 0.750 0.803
7 Sc 0.749 0.250 0.197
8 Sc 0.751 0.750 0.697
9 Si 0.055 0.750 0.148
10 Si 0.058 0.250 0.648
11 Si 0.442 0.750 0.148
12 Si 0.445 0.250 0.648
13 Si 0.555 0.750 0.352
14 Si 0.558 0.250 0.852
15 Si 0.942 0.750 0.352
16 Si 0.945 0.250 0.852



Entry 10:
The following is a PBE calculation of an optimized crystal structure of LiScSi3, from the Alexandria database.

Symmetry: Pm-3m
Crystal system: cubic
Energy relative to the lowest polymorph listed for this composition, meV/atom: 0

Unit cell a=4.374 b=4.374 c=4.374 alpha=90.00 beta=90.00 gamma=90.00
Fractional coordinates of all 5 atoms:
1 Li 0.000 0.000 0.000
2 Sc 0.500 0.500 0.500
3 Si 0.000 0.000 0.500
4 Si 0.000 0.500 0.000
5 Si 0.500 0.000 0.000



Entry 11:
The following is a PBE calculation of an optimized crystal structure of LiSc2Si, from the Alexandria database.

Symmetry: Pmmm
Crystal system: orthorhombic
Raw total energy, eV per atom: -5.28

Unit cell a=3.119 b=3.788 c=6.379 alpha=90.00 beta=90.00 gamma=90.00
Fractional coordinates of all 4 atoms:
1 Li 0.000 0.000 0.000
2 Sc 0.500 0.500 0.267
3 Sc 0.500 0.500 0.733
4 Si 0.000 0.000 0.500



Entry 12:
The following is a PBE calculation of an optimized crystal structure of LiScSi2, from the Alexandria database.

Symmetry: R-3m
Crystal system: trigonal
Energy relative to the lowest polymorph listed for this composition, meV/atom: 414

Unit cell a=9.067 b=9.067 c=9.067 alpha=18.91 beta=18.91 gamma=18.91
Fractional coordinates of all 4 atoms:
1 Li 0.000 0.000 0.000
2 Sc 0.500 0.500 0.500
3 Si 0.253 0.253 0.253
4 Si 0.747 0.747 0.747



Calculated total moment (μB per formula unit), listed in the same order as above: 0.0 0.1 0.0 0.0 0.0 0.5 0.5 0.0 0.0 0.0 0.0 0.0
Calculated theoretical density (g cm⁻³), listed in the same order as above: 2.5 2.5 2.4 2.6 2.7 1.6 2.5 2.7 2.6 2.7 2.8 2.6